The following is a DFT calculation (PBE) of a relaxed structure of B2W2Se.

E above lowest polymorph   0.514 eV/f.u.
Raw formation energy   0.436 eV/atom
M_tot   0.00 μB per atom

a = 4.6257 Å, b = 4.6257 Å, c = 4.6257 Å
α = 125.53°, β = 125.53°, γ = 80.66°
With the nearest neighbours (Å) after each atom.
Fractional positions:
1 B 0.1206 0.1206 0.0000  1 B 1.70
2 B 0.8794 0.8794 0.0000  1 B 1.70
3 W 0.2500 0.7500 0.5000  4 B 2.31
4 W 0.7500 0.2500 0.5000  4 B 2.31
5 Se 0.5000 0.5000 0.0000  2 B 2.68, 8 W 2.75



The following is a DFT calculation (PBE) of a relaxed structure of B3WSe.

E above lowest polymorph   0.000 eV/f.u.
Raw formation energy   1.726 eV/atom
M_tot   0.00 μB per atom

a = 4.2738 Å, b = 4.2738 Å, c = 4.2738 Å
α = 90.00°, β = 90.00°, γ = 90.00°
With the nearest neighbours (Å) after each atom.
Fractional positions:
1 B 0.0000 0.0000 0.5000  2 W 2.14
2 B 0.0000 0.5000 0.0000  2 W 2.14
3 B 0.5000 0.0000 0.0000  2 W 2.14
4 W 0.0000 0.0000 0.0000  6 B 2.14
5 Se 0.5000 0.5000 0.5000  12 B 3.02



The following is a DFT calculation (PBE) of a relaxed structure of ZrB2WSe.

Raw formation energy   0.685 eV/atom
M_tot   0.00 μB per atom

a = 4.1041 Å, b = 4.1041 Å, c = 5.0020 Å
α = 90.00°, β = 90.00°, γ = 90.00°
With the nearest neighbours (Å) after each atom.
Fractional positions:
1 Zr 0.0000 0.0000 0.0000  4 Se 2.90, 8 B 3.24
2 B 0.0000 0.5000 0.5000  2 W 2.05
3 B 0.5000 0.0000 0.5000  2 W 2.05
4 W 0.5000 0.5000 0.5000  4 B 2.05
5 Se 0.5000 0.5000 0.0000  2 W 2.50



The following is a DFT calculation (PBE) of a relaxed structure of ZrBWSe.

E above lowest polymorph   0.455 eV/f.u.
Raw formation energy   -0.428 eV/atom
M_tot   0.00 μB per atom

a = 3.3163 Å, b = 3.3163 Å, c = 7.3380 Å
α = 103.55°, β = 103.55°, γ = 60.02°
With the nearest neighbours (Å) after each atom.
Fractional positions:
1 Zr 0.0000 0.0000 0.0000  3 B 2.35-2.36
2 B 0.7336 0.7336 0.1940  3 W 2.24, 3 Zr 2.35-2.36
3 W 0.4573 0.4573 0.3592  3 B 2.24
4 Se 0.8765 0.8765 0.6072  3 W 2.60, 1 Zr 2.78



The following is a DFT calculation (PBE) of a relaxed structure of ZrBWSe.

E above lowest polymorph   0.802 eV/f.u.
Raw formation energy   -0.341 eV/atom
M_tot   0.00 μB per atom

a = 3.1733 Å, b = 3.1733 Å, c = 6.5447 Å
α = 90.00°, β = 90.00°, γ = 90.00°
With the nearest neighbours (Å) after each atom.
Fractional positions:
1 Zr 0.0000 0.0000 0.0000  1 B 2.52, 4 Se 2.73
2 B 0.0000 0.0000 0.3845  4 W 2.25, 1 Zr 2.52
3 W 0.5000 0.5000 0.3572  4 B 2.25
4 Se 0.5000 0.5000 0.7620  1 W 2.65, 4 Zr 2.73



The following is a DFT calculation (PBE) of a relaxed structure of ZrBWSe.

E above lowest polymorph   0.308 eV/f.u.
Raw formation energy   -0.464 eV/atom
M_tot   0.00 μB per atom

a = 3.4155 Å, b = 3.4155 Å, c = 6.7672 Å
α = 90.00°, β = 90.00°, γ = 120.00°
With the nearest neighbours (Å) after each atom.
Fractional positions:
1 Zr 0.0000 0.0000 0.0000  3 B 2.43
2 B 0.3333 0.6667 0.7900  3 W 2.20, 3 Zr 2.43
3 W 0.6667 0.3333 0.6466  3 B 2.20
4 Se 0.6667 0.3333 0.2776  1 W 2.50, 3 Zr 2.72